First-principles (PBE) data for a relaxed Zn2Pd crystal, as listed in OQMD via LeMat-Bulk.

Structure (CIF):
```
data_Zn2Pd
_chemical_formula_sum 'Zn4 Pd2'
_space_group_name_H-M_alt 'P 1'
_space_group_IT_number 1
_space_group_name_Hall 'P 1'
_cell_length_a 7.877
_cell_length_b 7.877
_cell_length_c 7.877
_cell_angle_alpha 60.00
_cell_angle_beta 60.00
_cell_angle_gamma 60.00
loop_
_atom_site_label
_atom_site_fract_x
_atom_site_fract_y
_atom_site_fract_z
Zn1 0.000 0.000 0.000
Zn2 0.000 0.000 0.500
Zn3 0.000 0.500 0.000
Zn4 0.500 0.000 0.000
Pd1 0.125 0.125 0.125
Pd2 0.875 0.875 0.875
```

## Properties
space group	Fd-3m
ΔH_f (0 K)	0.493	eV/atom